Rb2TlIn2Te4: relaxed, PBE.

Cell lengths 18.0010, 5.1531, 8.4864 Å; angles 90.00, 108.56, 90.00 degrees
Space group C2/m (No. 12)
Unique sites:
Rb 0.1225 0.0000 0.0398 x4
Tl 0.0000 0.0000 0.5000 x2
In 0.1679 0.5000 0.4968 x4
Te 0.0267 0.5000 0.2353 x4
Te 0.2088 0.0000 0.6770 x4

Calculated values
E_form (uncorrected), meV per atom: -584.8
Final energy, eV/atom: -3.07
DOS at the Fermi energy, states/eV/atom: 0.134
Magnetization, μB/cell: 0.000